Below is an optimized crystal structure of SiHgGe3, with properties calculated at the PBE level.

The space-group type is Pm-3m. The value obtained for the polymorph energy (0 for the lowest one) is 609.4 meV/atom. The formation energy without anion corrections is 1.20 eV/atom. The value obtained for the total magnetization is 0.000 Bohr magnetons per cell. The value obtained for the density of states at the Fermi level is 4.67 states/eV per cell. As for the crystal system: cubic.

Lattice parameters (Å, degrees): 5.1701 5.1701 5.1701 90.00 90.00 90.00
Fractional coordinates of all 5 atoms:
Si1 0.5000 0.5000 0.5000
Ge1 0.0000 0.5000 0.0000
Hg1 0.0000 0.0000 0.0000
Ge2 0.0000 0.0000 0.5000
Ge3 0.5000 0.0000 0.0000